<i>
Here is a relaxed YTi3Zn crystal from Alexandria. Energies are from PBE.

Cell lengths 4.827, 4.827, 4.827 Å; angles 90.00, 90.00, 90.00 degrees
Sites, in units of the cell vectors:
Zn 0.000 0.000 0.000
Ti 0.000 0.500 0.000
Ti 0.000 0.000 0.500
Ti 0.500 0.000 0.000
Y 0.500 0.500 0.500

Volume = 112.5 Å³ per cell
Space-group type = No. 221
Fermi-level density of states = 1.687 states/eV/atom
Crystal system = cubic

<ii>
Here is a relaxed YTi3Zn crystal from Alexandria. Energies are from PBE.

Cell lengths 4.834, 4.834, 4.834 Å; angles 90.00, 90.00, 90.00 degrees
Sites, in units of the cell vectors:
Zn 0.500 0.500 0.500
Ti 0.000 0.000 0.500
Ti 0.500 0.000 0.000
Ti 0.000 0.500 0.000
Y 0.000 0.000 0.000

Volume = 113.0 Å³ per cell
Space-group type = No. 221
Fermi-level density of states = 1.910 states/eV/atom
Crystal system = cubic

Most stable to least stable: <i>, <ii>